The following is a DFT calculation (PBE-GGA) of a relaxed structure of ScUGe2.

Results
* formation energy from the elements: -330 meV per atom
* symmetry: R-3m (166)
* VASP energy: -7.043 eV per atom

Lattice parameters (Å, degrees): 4.0775 4.0775 6.7026 72.29 72.29 60.00
Site moments in Bohr magnetons follow the coordinates.
Positions (direct):
1 Ge 0.2514 0.2514 0.2459  -0.05
2 Ge 0.7486 0.7486 0.7541  -0.05
3 U 0.5000 0.5000 0.5000  1.06
4 Sc 0.0000 0.0000 0.0000  -0.07